Record 1
KNiPd2I (PBEsol, optimized geometry); space-group type = P4/mmm; N(E_F) = 5.63 states/eV/f.u.; formation energy without anion corrections = 0.29 eV per atom; crystal system = tetragonal
1.0
4.7995 0.0000 0.0000
0.0000 4.7995 0.0000
0.0000 0.0000 4.8691
K Ni Pd I
1 1 2 1
Direct
0.0000 0.0000 0.0000
0.5000 0.5000 0.5000
0.0000 0.5000 0.5000
0.5000 0.0000 0.5000
0.5000 0.5000 0.0000

Record 2
YNi3P2 (PBEsol, optimized geometry); formation energy from the elements = -0.959 eV per atom; space-group type = P6/mmm; N(E_F) = 2.08 states/eV/f.u.; crystal system = hexagonal
1.0
8.6587 0.0000 0.0000
-4.3293 7.4986 0.0000
0.0000 0.0000 3.5864
Y Ni P
3 9 6
Direct
0.0000 0.0000 0.0000
0.3333 0.6667 0.5000
0.6667 0.3333 0.5000
0.0000 0.2862 0.5000
0.0000 0.5000 0.0000
0.0000 0.7138 0.5000
0.2862 0.0000 0.5000
0.2862 0.2862 0.5000
0.5000 0.0000 0.0000
0.5000 0.5000 0.0000
0.7138 0.0000 0.5000
0.7138 0.7138 0.5000
0.1911 0.3821 0.0000
0.1911 0.8089 0.0000
0.3821 0.1911 0.0000
0.6179 0.8089 0.0000
0.8089 0.1911 0.0000
0.8089 0.6179 0.0000

Record 3
BeNiHg4 (PBEsol, optimized geometry); formation energy from the elements = 0.817 eV per atom; space-group type = F-43m; N(E_F) = 1.98 states/eV/f.u.; crystal system = cubic
1.0
0.0000 3.9152 3.9152
3.9152 0.0000 3.9152
3.9152 3.9152 0.0000
Be Ni Hg
1 1 4
Direct
0.0000 0.0000 0.0000
0.7500 0.7500 0.7500
0.3752 0.3752 0.3752
0.3752 0.3752 0.8745
0.3752 0.8745 0.3752
0.8745 0.3752 0.3752

Record 4
ZnIr2Os (PBEsol, optimized geometry); formation energy from the elements = 0.068 eV per atom; space-group type = C2/m; N(E_F) = 2.98 states/eV/f.u.; crystal system = monoclinic
1.0
8.8917 0.0000 0.0000
0.0000 2.7011 0.0000
-0.7064 0.0000 4.6225
Zn Ir Os
2 4 2
Direct
0.0000 0.0000 0.0000
0.5000 0.5000 0.0000
0.2453 0.0000 0.7477
0.2547 0.5000 0.2523
0.7453 0.5000 0.7477
0.7547 0.0000 0.2523
0.0000 0.5000 0.5000
0.5000 0.0000 0.5000

Record 5
BeNi2Cl (PBEsol, optimized geometry); space-group type = F-43m; N(E_F) = 2.79 states/eV/f.u.; energy above the most stable polymorph in this dataset = 2.01 eV per formula unit; formation energy without anion corrections = 0.57 eV per atom; crystal system = cubic
1.0
5.6809 0.0000 0.0000
0.0000 5.6809 0.0000
0.0000 0.0000 5.6809
Be Ni Cl
4 8 4
Direct
0.0000 0.0000 0.0000
0.0000 0.5000 0.5000
0.5000 0.0000 0.5000
0.5000 0.5000 0.0000
0.0000 0.0000 0.5000
0.0000 0.5000 0.0000
0.2500 0.2500 0.7500
0.2500 0.7500 0.2500
0.5000 0.0000 0.0000
0.5000 0.5000 0.5000
0.7500 0.2500 0.2500
0.7500 0.7500 0.7500
0.2500 0.2500 0.2500
0.2500 0.7500 0.7500
0.7500 0.2500 0.7500
0.7500 0.7500 0.2500

Record 6
LiV3O3F7 (PBEsol, optimized geometry); space-group type = P1; N(E_F) = 3.81 states/eV/f.u.; formation energy without anion corrections = -2.67 eV per atom; crystal system = triclinic
1.0
7.2832 0.0000 0.0000
3.4205 6.6604 0.0000
3.4993 -0.0927 7.0152
Li V O F
2 6 6 14
Direct
0.0000 0.0000 0.0000
0.0161 0.5383 0.0992
0.1884 0.4917 0.4417
0.3701 0.9902 0.5027
0.4382 0.5694 0.7141
0.5809 0.9947 0.0140
0.6258 0.4847 0.0118
0.8293 0.0430 0.4784
0.3336 0.5340 0.9452
0.4392 0.4553 0.2673
0.4439 0.0390 0.2597
0.5870 0.0075 0.5195
0.8588 0.4338 0.0214
0.9088 0.1001 0.2567
0.0106 0.7585 0.4097
0.0477 0.4370 0.3280
0.0767 0.0201 0.5256
0.1789 0.2672 0.5994
0.2055 0.5788 0.6517
0.2666 0.8706 0.7661
0.3461 0.1562 0.9541
0.4948 0.7712 0.0468
0.5252 0.7011 0.4631
0.6399 0.3120 0.5937
0.7024 0.5515 0.7395
0.7034 0.2015 0.9627
0.7669 0.9229 0.7538
0.8625 0.8187 0.0471

Record 7
ZnSi2Tc (PBEsol, optimized geometry); space-group type = I-4m2; N(E_F) = 2.74 states/eV/f.u.; energy above the most stable polymorph in this dataset = 0.71 eV per formula unit; formation energy without anion corrections = -0.01 eV per atom; crystal system = tetragonal
1.0
3.6541 0.0000 0.0000
0.0000 3.6541 0.0000
0.0000 0.0000 7.8433
Zn Si Tc
2 4 2
Direct
0.0000 0.0000 0.0000
0.5000 0.5000 0.5000
0.0000 0.0000 0.5000
0.0000 0.5000 0.2500
0.5000 0.0000 0.7500
0.5000 0.5000 0.0000
0.0000 0.5000 0.7500
0.5000 0.0000 0.2500

Record 8
Fe2HgW (PBEsol, optimized geometry); formation energy from the elements = 0.506 eV per atom; space-group type = P4/mmm; N(E_F) = 3.36 states/eV/f.u.; crystal system = tetragonal
1.0
4.0534 0.0000 0.0000
0.0000 4.0534 0.0000
0.0000 0.0000 3.2705
Fe Hg W
2 1 1
Direct
0.0000 0.5000 0.0000
0.5000 0.0000 0.0000
0.0000 0.0000 0.5000
0.5000 0.5000 0.5000

> What is the formula in the first record?

KNiPd2I